Computed, not measured: crystalline YCoAsO2 at its relaxed geometry at the PBE with a Hubbard U level of DFT.

Calculated density: 3.8 g/cm3
DOS(E_F): 4.417 states/eV per cell
VASP energy: -28.14 eV for the cell shown

The structure in POSCAR format:
```
YCoAsO2
1.0
4.136 0.000 0.000
0.000 4.136 0.000
0.000 0.000 6.547
Y Co As O
1 1 1 2
direct
0.000 0.000 0.000
0.000 0.000 0.500
0.500 0.500 0.500
0.000 0.500 0.000
0.500 0.000 0.000
```